YErSiPt: relaxed, PBE-GGA.

volume = 88.5 Å³/f.u.
D(E_F) = 3.17 states/eV/f.u.
mass density = 9.0 Mg/m³
total DFT energy (no corrections) = -6.6674 eV per atom

Geometry as CIF:
```
data_YErSiPt
_chemical_formula_sum 'Y2 Er2 Si2 Pt2'
_symmetry_space_group_name_H-M 'A m m 2'
_symmetry_Int_Tables_number 38
_cell_length_a 4.181
_cell_length_b 3.976
_cell_length_c 10.642
_cell_angle_alpha 90.00
_cell_angle_beta 90.00
_cell_angle_gamma 90.00
loop_
_symmetry_equiv_pos_as_xyz
'x,y,z'
'-x,-y,z'
'-x,y,z'
'x,-y,z'
'x,y+1/2,z+1/2'
'-x,-y+1/2,z+1/2'
'-x,y+1/2,z+1/2'
'x,-y+1/2,z+1/2'
loop_
_atom_site_label
_atom_site_type_symbol
_atom_site_fract_x
_atom_site_fract_y
_atom_site_fract_z
Y1 Y 0.000 0.000 0.000
Er1 Er 0.500 0.000 0.283
Si1 Si 0.000 0.000 0.718
Pt1 Pt 0.500 0.000 0.566
```

---

Er2ZnSiPt6: relaxed, PBE-GGA.

volume = 196.8 Å³/f.u.
D(E_F) = 4.65 states/eV/f.u.
mass density = 13.5 Mg/m³
total DFT energy (no corrections) = -5.6952 eV per atom

Geometry as CIF:
```
data_Er2ZnSiPt6
_chemical_formula_sum 'Er8 Zn4 Si4 Pt24'
_symmetry_space_group_name_H-M 'F m -3 m'
_symmetry_Int_Tables_number 225
_symmetry_space_group_name_Hall '-F 4 2 3'
_cell_length_a 9.233
_cell_length_b 9.233
_cell_length_c 9.233
_cell_angle_alpha 90.00
_cell_angle_beta 90.00
_cell_angle_gamma 90.00
loop_
_atom_site_label
_atom_site_type_symbol
_atom_site_fract_x
_atom_site_fract_y
_atom_site_fract_z
Er1 Er 0.250 0.250 0.250
Zn1 Zn 0.000 0.000 0.000
Si1 Si 0.000 0.000 0.500
Pt1 Pt 0.000 0.000 0.256
```

---

ErZnSiPt3: relaxed, PBE-GGA.

volume = 110.8 Å³/f.u.
D(E_F) = 1.65 states/eV/f.u.
mass density = 12.7 Mg/m³
total DFT energy (no corrections) = -5.6455 eV per atom

Geometry as CIF:
```
data_ErZnSiPt3
_chemical_formula_sum 'Er4 Zn4 Si4 Pt12'
_symmetry_space_group_name_H-M 'C m c m'
_symmetry_Int_Tables_number 63
_symmetry_space_group_name_Hall '-C 2c 2'
_cell_length_a 6.907
_cell_length_b 11.578
_cell_length_c 5.545
_cell_angle_alpha 90.00
_cell_angle_beta 90.00
_cell_angle_gamma 90.00
loop_
_atom_site_label
_atom_site_type_symbol
_atom_site_fract_x
_atom_site_fract_y
_atom_site_fract_z
Er1 Er 0.000 0.201 0.250
Zn1 Zn 0.000 0.450 0.250
Si1 Si 0.000 0.122 0.750
Pt1 Pt 0.000 0.319 0.750
Pt2 Pt 0.205 0.000 0.000
```

---

ErZnSi2Pt5: relaxed, PBE-GGA.

volume = 178.5 Å³/f.u.
D(E_F) = 1.40 states/eV/f.u.
mass density = 11.8 Mg/m³
total DFT energy (no corrections) = -5.8820 eV per atom

Geometry as CIF:
```
data_ErZnSi2Pt5
_chemical_formula_sum 'Er1 Zn1 Si2 Pt5'
_symmetry_space_group_name_H-M 'P 4/m m m'
_symmetry_Int_Tables_number 123
_symmetry_space_group_name_Hall '-P 4 2'
_cell_length_a 3.907
_cell_length_b 3.907
_cell_length_c 11.696
_cell_angle_alpha 90.00
_cell_angle_beta 90.00
_cell_angle_gamma 90.00
loop_
_atom_site_label
_atom_site_type_symbol
_atom_site_fract_x
_atom_site_fract_y
_atom_site_fract_z
Er1 Er 0.000 0.000 0.000
Zn1 Zn 0.000 0.000 0.500
Si1 Si 0.500 0.500 0.300
Pt1 Pt 0.000 0.500 0.184
Pt2 Pt 0.500 0.500 0.500
```

---

ErZnSi2Pt2: relaxed, PBE-GGA.

volume = 101.8 Å³/f.u.
D(E_F) = 2.60 states/eV/f.u.
mass density = 11.1 Mg/m³
total DFT energy (no corrections) = -5.5984 eV per atom

Geometry as CIF:
```
data_ErZnSi2Pt2
_chemical_formula_sum 'Er1 Zn1 Si2 Pt2'
_symmetry_space_group_name_H-M 'P -3 m 1'
_symmetry_Int_Tables_number 164
_symmetry_space_group_name_Hall '-P 3 2"'
_cell_length_a 4.2082
_cell_length_b 4.2082
_cell_length_c 6.6359
_cell_angle_alpha 90.00
_cell_angle_beta 90.00
_cell_angle_gamma 120.00
loop_
_atom_site_label
_atom_site_type_symbol
_atom_site_fract_x
_atom_site_fract_y
_atom_site_fract_z
Er1 Er 0.0000 0.0000 0.0000
Zn1 Zn 0.0000 0.0000 0.5000
Si1 Si 0.3333 0.6667 0.7185
Pt1 Pt 0.3333 0.6667 0.3050
```

---

Er2ZnSi3Pt4: relaxed, PBE-GGA.

volume = 174.8 Å³/f.u.
D(E_F) = 4.36 states/eV/f.u.
mass density = 12.0 Mg/m³
total DFT energy (no corrections) = -6.1080 eV per atom

Geometry as CIF:
```
data_Er2ZnSi3Pt4
_chemical_formula_sum 'Er2 Zn1 Si3 Pt4'
_symmetry_space_group_name_H-M 'P -4 m 2'
_symmetry_Int_Tables_number 115
_cell_length_a 4.149
_cell_length_b 4.149
_cell_length_c 10.155
_cell_angle_alpha 90.00
_cell_angle_beta 90.00
_cell_angle_gamma 90.00
loop_
_symmetry_equiv_pos_as_xyz
'x,y,z'
'y,-x,-z'
'-x,-y,z'
'-y,x,-z'
'-x,y,z'
'-y,-x,-z'
'x,-y,z'
'y,x,-z'
loop_
_atom_site_label
_atom_site_type_symbol
_atom_site_fract_x
_atom_site_fract_y
_atom_site_fract_z
Er1 Er 0.000 0.500 0.246
Zn1 Zn 0.500 0.500 0.000
Si1 Si 0.000 0.000 0.000
Si2 Si 0.000 0.500 0.632
Pt1 Pt 0.000 0.000 0.500
Pt2 Pt 0.000 0.500 0.861
Pt3 Pt 0.500 0.500 0.500
```

---

Er2ZnSi4Pt3: relaxed, PBE-GGA.

volume = 171.8 Å³/f.u.
D(E_F) = 2.92 states/eV/f.u.
mass density = 10.6 Mg/m³
total DFT energy (no corrections) = -5.9705 eV per atom

Geometry as CIF:
```
data_Er2ZnSi4Pt3
_chemical_formula_sum 'Er2 Zn1 Si4 Pt3'
_symmetry_space_group_name_H-M 'P -4 m 2'
_symmetry_Int_Tables_number 115
_cell_length_a 4.066
_cell_length_b 4.066
_cell_length_c 10.389
_cell_angle_alpha 90.00
_cell_angle_beta 90.00
_cell_angle_gamma 90.00
loop_
_symmetry_equiv_pos_as_xyz
'x,y,z'
'y,-x,-z'
'-x,-y,z'
'-y,x,-z'
'-x,y,z'
'-y,-x,-z'
'x,-y,z'
'y,x,-z'
loop_
_atom_site_label
_atom_site_type_symbol
_atom_site_fract_x
_atom_site_fract_y
_atom_site_fract_z
Er1 Er 0.000 0.500 0.244
Zn1 Zn 0.500 0.500 0.000
Si1 Si 0.000 0.000 0.500
Si2 Si 0.000 0.500 0.859
Si3 Si 0.500 0.500 0.500
Pt1 Pt 0.000 0.000 0.000
Pt2 Pt 0.000 0.500 0.629
```

---

Er3ZnSi2Pt9: relaxed, PBE-GGA.

volume = 296.0 Å³/f.u.
D(E_F) = 5.72 states/eV/f.u.
mass density = 13.3 Mg/m³
total DFT energy (no corrections) = -6.1868 eV per atom

Geometry as CIF:
```
data_Er3ZnSi2Pt9
_chemical_formula_sum 'Er3 Zn1 Si2 Pt9'
_symmetry_space_group_name_H-M 'P -3 m 1'
_symmetry_Int_Tables_number 164
_symmetry_space_group_name_Hall '-P 3 2"'
_cell_length_a 5.6286
_cell_length_b 5.6286
_cell_length_c 10.7897
_cell_angle_alpha 90.00
_cell_angle_beta 90.00
_cell_angle_gamma 120.00
loop_
_atom_site_label
_atom_site_type_symbol
_atom_site_fract_x
_atom_site_fract_y
_atom_site_fract_z
Er1 Er 0.0000 0.0000 0.0000
Er2 Er 0.3333 0.6667 0.5806
Zn1 Zn 0.0000 0.0000 0.5000
Si1 Si 0.3333 0.6667 0.1638
Pt1 Pt 0.0000 0.5000 0.0000
Pt2 Pt 0.1640 0.3280 0.3198
```

---

SmErPt2: relaxed, PBE-GGA.

polymorph energy (0 for the lowest one) = 0.070 eV per atom
volume = 87.0 Å³/f.u.
DFT formation energy = -1.1765 eV per atom
D(E_F) = 3.01 states/eV/f.u.
mass density = 13.5 Mg/m³
total DFT energy (no corrections) = -6.5174 eV per atom

Geometry as CIF:
```
data_SmErPt2
_chemical_formula_sum 'Sm1 Er1 Pt2'
_symmetry_space_group_name_H-M 'P 4/m m m'
_symmetry_Int_Tables_number 123
_symmetry_space_group_name_Hall '-P 4 2'
_cell_length_a 3.510
_cell_length_b 3.510
_cell_length_c 7.059
_cell_angle_alpha 90.00
_cell_angle_beta 90.00
_cell_angle_gamma 90.00
loop_
_atom_site_label
_atom_site_type_symbol
_atom_site_fract_x
_atom_site_fract_y
_atom_site_fract_z
Sm1 Sm 0.000 0.000 0.000
Er1 Er 0.000 0.000 0.500
Pt1 Pt 0.500 0.500 0.265
```

---

SmErPt2: relaxed, PBE-GGA.

polymorph energy (0 for the lowest one) = 0.000 eV per atom
volume = 90.7 Å³/f.u.
DFT formation energy = -1.2462 eV per atom
D(E_F) = 2.52 states/eV/f.u.
mass density = 13.0 Mg/m³
total DFT energy (no corrections) = -6.5871 eV per atom

Geometry as CIF:
```
data_SmErPt2
_chemical_formula_sum 'Sm1 Er1 Pt2'
_symmetry_space_group_name_H-M 'P 1 m 1'
_symmetry_Int_Tables_number 6
_cell_length_a 3.802
_cell_length_b 4.492
_cell_length_c 5.645
_cell_angle_alpha 90.00
_cell_angle_beta 109.76
_cell_angle_gamma 90.00
loop_
_symmetry_equiv_pos_as_xyz
'x,y,z'
'x,-y,z'
loop_
_atom_site_label
_atom_site_type_symbol
_atom_site_fract_x
_atom_site_fract_y
_atom_site_fract_z
Sm1 Sm 0.000 0.000 0.000
Er1 Er 0.724 0.500 0.449
Pt1 Pt 0.272 0.000 0.545
Pt2 Pt 0.448 0.500 0.897
```